Entry 1:
DFT (PBE) results for crystalline BaBeHgIr2 at its relaxed geometry. Values from VASP.

Cell and atoms, written as Quantum ESPRESSO input:
```
&SYSTEM
  ibrav = 0, nat = 5, ntyp = 4
/
ATOMIC_SPECIES
Hg 200.59 Hg.upf
Ir 192.22 Ir.upf
Ba 137.33 Ba.upf
Be 9.01 Be.upf
CELL_PARAMETERS angstrom
-0.150 -4.216 -3.013
4.448 -0.320 0.226
-0.429 -2.993 4.210
ATOMIC_POSITIONS crystal
Hg 0.000 0.000 0.000
Ir 0.500 0.000 0.000
Ir 0.000 0.000 0.500
Ba 0.500 0.500 0.500
Be 0.000 0.500 0.000
```

Computed properties:
* volume: 119.97 Å³/f.u.
* VASP energy: -18.8 eV for the cell shown

Entry 2:
DFT (PBE) results for crystalline NdAsPd2 at its relaxed geometry. Values from VASP.

Cell and atoms, written as Quantum ESPRESSO input:
```
&SYSTEM
  ibrav = 0, nat = 4, ntyp = 3
/
ATOMIC_SPECIES
Pd 106.42 Pd.upf
Nd 144.24 Nd.upf
As 74.92 As.upf
CELL_PARAMETERS angstrom
4.246 0.000 0.000
0.000 3.801 0.385
0.000 -0.536 5.352
ATOMIC_POSITIONS crystal
Pd 0.000 0.000 0.752
Pd 0.000 0.000 0.248
Nd 0.500 0.500 0.000
As 0.500 0.000 0.500
```

Computed properties:
* volume: 87.26 Å³/f.u.
* VASP energy: -22.6 eV for the cell shown

Entry 3:
DFT (PBE) results for crystalline Ti4SO at its relaxed geometry. Values from VASP.

Cell and atoms, written as Quantum ESPRESSO input:
```
&SYSTEM
  ibrav = 0, nat = 12, ntyp = 3
/
ATOMIC_SPECIES
S 32.06 S.upf
O 16.00 O.upf
Ti 47.87 Ti.upf
CELL_PARAMETERS angstrom
-3.334 0.428 5.159
-0.045 -5.453 -2.860
5.844 1.004 1.660
ATOMIC_POSITIONS crystal
S 0.735 0.735 0.000
S 0.485 0.985 0.500
O 0.261 0.261 0.000
O 0.011 0.511 0.500
Ti 0.773 0.078 0.305
Ti 0.260 0.479 0.780
Ti 0.229 0.510 0.280
Ti 0.218 0.023 0.195
Ti 0.828 0.023 0.805
Ti 0.699 0.479 0.220
Ti 0.229 0.949 0.720
Ti 0.773 0.468 0.695
```

Computed properties:
* volume: 88.82 Å³/f.u.
* formation energy from raw total energies: -7.40 eV/f.u.

Entry 4:
DFT (PBE) results for crystalline NpSb2Se6 at its relaxed geometry. Values from VASP.

Cell and atoms, written as Quantum ESPRESSO input:
```
&SYSTEM
  ibrav = 0, nat = 9, ntyp = 3
/
ATOMIC_SPECIES
Se 78.96 Se.upf
Sb 121.76 Sb.upf
Np 237.00 Np.upf
CELL_PARAMETERS angstrom
-3.547 -1.542 -1.074
1.360 -3.776 -6.573
4.705 -12.985 -4.397
ATOMIC_POSITIONS crystal
Se 0.366 0.299 0.968
Se 0.635 0.127 0.602
Se 0.634 0.701 0.032
Se 0.365 0.873 0.398
Se 0.948 0.374 0.731
Se 0.052 0.626 0.269
Sb 0.140 0.865 0.855
Sb 0.860 0.135 0.145
Np 0.000 0.500 0.500
```

Computed properties:
* volume: 282.17 Å³/f.u.
* formation energy from raw total energies: -3.35 eV/f.u.

Entry 5:
DFT (PBE) results for crystalline Cu4ReSe at its relaxed geometry. Values from VASP.

Cell and atoms, written as Quantum ESPRESSO input:
```
&SYSTEM
  ibrav = 0, nat = 6, ntyp = 3
/
ATOMIC_SPECIES
Cu 63.55 Cu.upf
Se 78.96 Se.upf
Re 186.21 Re.upf
CELL_PARAMETERS angstrom
-3.681 -3.149 -0.581
-4.140 0.596 2.513
-4.069 1.401 -2.299
ATOMIC_POSITIONS crystal
Cu 0.375 0.874 0.375
Cu 0.874 0.375 0.375
Cu 0.375 0.375 0.375
Cu 0.375 0.375 0.874
Se 0.000 0.000 0.000
Re 0.750 0.750 0.750
```

Computed properties:
* volume: 82.14 Å³/f.u.
* formation energy from raw total energies: 3.47 eV/f.u.

Entry 6:
DFT (PBE) results for crystalline FeBTeI2 at its relaxed geometry. Values from VASP.

Cell and atoms, written as Quantum ESPRESSO input:
```
&SYSTEM
  ibrav = 0, nat = 5, ntyp = 4
/
ATOMIC_SPECIES
B 10.81 B.upf
I 126.90 I.upf
Te 127.60 Te.upf
Fe 55.84 Fe.upf
CELL_PARAMETERS angstrom
-1.601 0.341 -4.715
3.309 -3.475 -1.375
-3.420 -3.612 0.900
ATOMIC_POSITIONS crystal
B 0.000 0.000 0.000
I 0.000 0.500 0.000
I 0.500 0.000 0.000
Te 0.000 0.000 0.500
Fe 0.500 0.500 0.500
```

Computed properties:
* volume: 125.93 Å³/f.u.
* formation energy from raw total energies: 5.69 eV/f.u.

Entry 7:
DFT (PBE) results for crystalline MgSi7Ir3 at its relaxed geometry. Values from VASP.

Cell and atoms, written as Quantum ESPRESSO input:
```
&SYSTEM
  ibrav = 0, nat = 22, ntyp = 3
/
ATOMIC_SPECIES
Ir 192.22 Ir.upf
Si 28.09 Si.upf
Mg 24.30 Mg.upf
CELL_PARAMETERS angstrom
7.989 0.004 0.003
4.400 6.668 0.003
4.400 2.370 6.232
ATOMIC_POSITIONS crystal
Ir 0.074 0.426 0.750
Ir 0.750 0.074 0.426
Ir 0.250 0.926 0.574
Ir 0.926 0.574 0.250
Ir 0.574 0.250 0.926
Ir 0.426 0.750 0.074
Si 0.435 0.650 0.827
Si 0.065 0.673 0.850
Si 0.327 0.150 0.935
Si 0.750 0.750 0.750
Si 0.650 0.827 0.435
Si 0.565 0.350 0.173
Si 0.150 0.935 0.327
Si 0.350 0.173 0.565
Si 0.673 0.850 0.065
Si 0.850 0.065 0.673
Si 0.935 0.327 0.150
Si 0.250 0.250 0.250
Si 0.827 0.435 0.650
Si 0.173 0.565 0.350
Mg 0.000 0.000 0.000
Mg 0.500 0.500 0.500
```

Computed properties:
* volume: 165.88 Å³/f.u.
* formation energy from raw total energies: -5.65 eV/f.u.

Entry 8:
DFT (PBE) results for crystalline Ti2In2Cu at its relaxed geometry. Values from VASP.

Cell and atoms, written as Quantum ESPRESSO input:
```
&SYSTEM
  ibrav = 0, nat = 10, ntyp = 3
/
ATOMIC_SPECIES
Cu 63.55 Cu.upf
Ti 47.87 Ti.upf
In 114.82 In.upf
CELL_PARAMETERS angstrom
-5.075 3.531 -2.663
-3.672 -1.105 5.532
1.555 3.549 1.742
ATOMIC_POSITIONS crystal
Cu 0.000 0.000 0.000
Cu 0.500 0.500 0.000
Ti 0.344 0.156 0.500
Ti 0.656 0.844 0.500
Ti 0.844 0.344 0.500
Ti 0.156 0.656 0.500
In 0.649 0.149 0.000
In 0.851 0.649 0.000
In 0.149 0.351 0.000
In 0.351 0.851 0.000
```

Computed properties:
* volume: 96.24 Å³/f.u.
* VASP energy: -49.6 eV for the cell shown

Entry 9:
DFT (PBE) results for crystalline Ac8CoPt3I3 at its relaxed geometry. Values from VASP.

Cell and atoms, written as Quantum ESPRESSO input:
```
&SYSTEM
  ibrav = 0, nat = 15, ntyp = 4
/
ATOMIC_SPECIES
I 126.90 I.upf
Co 58.93 Co.upf
Ac 227.00 Ac.upf
Pt 195.08 Pt.upf
CELL_PARAMETERS angstrom
8.886 0.000 0.000
-4.443 7.679 -0.032
0.000 -5.087 8.666
ATOMIC_POSITIONS crystal
I 0.000 0.500 0.000
I 0.500 0.500 0.000
I 0.000 0.000 0.000
Co 0.000 0.000 0.500
Ac 0.220 0.959 0.680
Ac 0.780 0.041 0.320
Ac 0.220 0.440 0.680
Ac 0.780 0.560 0.320
Ac 0.728 0.457 0.687
Ac 0.272 0.543 0.313
Ac 0.739 0.959 0.680
Ac 0.261 0.041 0.320
Pt 0.000 0.500 0.500
Pt 0.500 0.500 0.500
Pt 0.500 0.000 0.500
```

Computed properties:
* volume: 589.88 Å³/f.u.
* formation energy from raw total energies: -14.53 eV/f.u.

Entry 10:
DFT (PBE) results for crystalline Ba4CdAg at its relaxed geometry. Values from VASP.

Cell and atoms, written as Quantum ESPRESSO input:
```
&SYSTEM
  ibrav = 0, nat = 6, ntyp = 3
/
ATOMIC_SPECIES
Ba 137.33 Ba.upf
Cd 112.41 Cd.upf
Ag 107.87 Ag.upf
CELL_PARAMETERS angstrom
0.000 5.196 5.196
5.196 0.000 5.196
5.196 5.196 0.000
ATOMIC_POSITIONS crystal
Ba 0.375 0.875 0.375
Ba 0.375 0.375 0.875
Ba 0.875 0.375 0.375
Ba 0.375 0.375 0.375
Cd 0.750 0.750 0.750
Ag 0.000 0.000 0.000
```

Computed properties:
* volume: 280.58 Å³/f.u.
* VASP energy: -8.8 eV for the cell shown

Entry 11:
DFT (PBE) results for crystalline K2ZrTl at its relaxed geometry. Values from VASP.

Cell and atoms, written as Quantum ESPRESSO input:
```
&SYSTEM
  ibrav = 0, nat = 4, ntyp = 3
/
ATOMIC_SPECIES
K 39.10 K.upf
Zr 91.22 Zr.upf
Tl 204.38 Tl.upf
CELL_PARAMETERS angstrom
-2.077 1.575 -1.942
-0.931 -2.830 -1.300
-9.265 -1.095 9.021
ATOMIC_POSITIONS crystal
K 0.000 0.000 0.491
K 0.000 0.000 0.009
Zr 0.500 0.500 0.750
Tl 0.500 0.500 0.250
```

Computed properties:
* volume: 137.13 Å³/f.u.
* VASP energy: -10.7 eV for the cell shown

Entry 12:
DFT (PBE) results for crystalline TlZn2Cu at its relaxed geometry. Values from VASP.

Cell and atoms, written as Quantum ESPRESSO input:
```
&SYSTEM
  ibrav = 0, nat = 4, ntyp = 3
/
ATOMIC_SPECIES
Cu 63.55 Cu.upf
Zn 65.41 Zn.upf
Tl 204.38 Tl.upf
CELL_PARAMETERS angstrom
3.069 0.000 0.000
0.000 3.394 0.000
0.000 0.000 7.028
ATOMIC_POSITIONS crystal
Cu 0.000 0.000 0.435
Zn 0.000 0.000 0.057
Zn 0.500 0.500 0.273
Tl 0.500 0.500 0.734
```

Computed properties:
* volume: 73.21 Å³/f.u.
* VASP energy: -8.4 eV for the cell shown

- Number 3 is which compound?
  Ti4SO

What did the third record say?
DFT (PBE) results for crystalline Ti4SO at its relaxed geometry. Values from VASP.

Cell and atoms, written as Quantum ESPRESSO input:
```
&SYSTEM
  ibrav = 0, nat = 12, ntyp = 3
/
ATOMIC_SPECIES
S 32.06 S.upf
O 16.00 O.upf
Ti 47.87 Ti.upf
CELL_PARAMETERS angstrom
-3.334 0.428 5.159
-0.045 -5.453 -2.860
5.844 1.004 1.660
ATOMIC_POSITIONS crystal
S 0.735 0.735 0.000
S 0.485 0.985 0.500
O 0.261 0.261 0.000
O 0.011 0.511 0.500
Ti 0.773 0.078 0.305
Ti 0.260 0.479 0.780
Ti 0.229 0.510 0.280
Ti 0.218 0.023 0.195
Ti 0.828 0.023 0.805
Ti 0.699 0.479 0.220
Ti 0.229 0.949 0.720
Ti 0.773 0.468 0.695
```

Computed properties:
* volume: 88.82 Å³/f.u.
* formation energy from raw total energies: -7.40 eV/f.u.

- Among the records above, which one has the lowest volume?
  TlZn2Cu

- What is the volume in the third record?
  88.82 Å³/f.u.